Compound: Li2La2GaRh5
Source: the Alexandria database
Functional: PBE-GGA
Structure: relaxed

Calculated values
The total energy comes out at -5.843 eV per atom. The density of states at the Fermi level is 0.5199 states/eV/atom. Its total magnetization is 0.00 μB/atom. As for the crystal system: tetragonal.

abc: 3.7079 9.4499 9.4499
angles: 90.00 90.00 90.00
Sites, in units of the cell vectors:
Li 0.0000 0.1190 0.6190
Li 0.0000 0.8810 0.3810
Li 0.0000 0.6190 0.8810
Li 0.0000 0.3810 0.1190
La 0.0000 0.6780 0.1780
La 0.0000 0.3220 0.8220
La 0.0000 0.1780 0.3220
La 0.0000 0.8220 0.6780
Ga 0.0000 0.0000 0.0000
Ga 0.0000 0.5000 0.5000
Rh 0.5000 0.2025 0.0683
Rh 0.5000 0.7975 0.9317
Rh 0.5000 0.0683 0.7975
Rh 0.5000 0.7025 0.4317
Rh 0.5000 0.9317 0.2025
Rh 0.5000 0.2975 0.5683
Rh 0.5000 0.5683 0.7025
Rh 0.5000 0.4317 0.2975
Rh 0.5000 0.5000 0.0000
Rh 0.5000 0.0000 0.5000

Compound: GdLuRhAu
Source: the Alexandria database
Functional: PBE-GGA
Structure: relaxed

Calculated values
The total energy comes out at -8.141 eV per atom. The density of states at the Fermi level is 0.7472 states/eV/atom. Its total magnetization is 1.80 μB/atom. As for the crystal system: cubic.

abc: 4.9528 4.9528 4.9528
angles: 60.00 60.00 60.00
Sites, in units of the cell vectors:
Au 0.7500 0.7500 0.7500
Gd 0.5000 0.5000 0.5000
Rh 0.2500 0.2500 0.2500
Lu 0.0000 0.0000 0.0000

Compound: K3Hg2Te3
Source: the Alexandria database
Functional: PBE-GGA
Structure: relaxed

Calculated values
Its energy relative to the elements, uncorrected is -0.630 eV/atom. The density of states at the Fermi level is 0.3977 states/eV/atom. Its total magnetization is 0.00 μB/atom. As for the crystal system: orthorhombic.

abc: 4.9563 7.1846 17.4641
angles: 90.00 90.00 110.18
Sites, in units of the cell vectors:
K 0.9214 0.8427 0.3934
K 0.0786 0.1573 0.8934
K 0.9214 0.8427 0.1066
K 0.0786 0.1573 0.6066
K 0.6497 0.2995 0.2500
K 0.3503 0.7005 0.7500
Hg 0.7680 0.5360 0.9053
Hg 0.2320 0.4640 0.4053
Hg 0.7680 0.5360 0.5947
Hg 0.2320 0.4640 0.0947
Te 0.6201 0.2402 0.4464
Te 0.3799 0.7598 0.9464
Te 0.6201 0.2402 0.0536
Te 0.3799 0.7598 0.5536
Te 0.3391 0.6783 0.2500
Te 0.6609 0.3217 0.7500